No. 1
Density functional theory data (PBE-GGA) for a relaxed structure of PmNdMnHg.

Cell: 5.306 5.306 5.306 Å, 60.00 60.00 60.00°
Last column: magnetic moment on the atom in μB.
Element x y z (fractional)
Mn 0.000 0.000 0.000  3.75
Nd 0.250 0.250 0.250  -0.20
Hg 0.500 0.500 0.500  -0.02
Pm 0.750 0.750 0.750  -0.21

Output
size of the total moment = 3.31 μB/cell

=====

No. 2
Density functional theory data (PBE-GGA) for a relaxed structure of PrNdMnHg.

Cell: 5.346 5.346 5.346 Å, 60.00 60.00 60.00°
Last column: magnetic moment on the atom in μB.
Element x y z (fractional)
Pr 0.250 0.250 0.250  -0.20
Mn 0.000 0.000 0.000  3.79
Nd 0.750 0.750 0.750  -0.20
Hg 0.500 0.500 0.500  -0.02

Output
size of the total moment = 3.34 μB/cell

=====

No. 3
Density functional theory data (PBE-GGA) for a relaxed structure of TbNdMnHg.

Cell: 5.247 5.247 5.247 Å, 60.00 60.00 60.00°
Last column: magnetic moment on the atom in μB.
Element x y z (fractional)
Nd 0.750 0.750 0.750  -0.20
Mn 0.000 0.000 0.000  3.68
Tb 0.250 0.250 0.250  -0.27
Hg 0.500 0.500 0.500  -0.03

Output
size of the total moment = 3.18 μB/cell

=====

No. 4
Density functional theory data (PBE-GGA) for a relaxed structure of NdYMnHg.

Cell: 5.244 5.244 5.244 Å, 60.00 60.00 60.00°
Last column: magnetic moment on the atom in μB.
Element x y z (fractional)
Y 0.250 0.250 0.250  -0.23
Mn 0.000 0.000 0.000  3.68
Nd 0.750 0.750 0.750  -0.20
Hg 0.500 0.500 0.500  -0.03

Output
size of the total moment = 3.14 μB/cell

=====

| no. | ΔE_f (eV/atom) | VASP energy (eV per atom) |
| --- | --- | --- |
| 1 | -0.057 | -4.8040 |
| 2 | -0.048 | -4.8026 |
| 3 | -0.062 | -4.7797 |
| 4 | -0.069 | -5.2445 |